# Pa2V2Zn15 | Alexandria | PBE-GGA | relaxed
# Symmetry: R-3m, No. 166
# ΔE_f in kcal/mol of atoms: -1.5
# Electronic total energy in eV per atom: -3.0283
# Crystal system: trigonal
data_Pa2V2Zn15
_space_group_name_H-M_alt 'P 1'
_space_group_IT_number 1
_space_group_name_Hall 'P 1'
_cell_length_a 6.732
_cell_length_b 6.732
_cell_length_c 6.732
_cell_angle_alpha 84.55
_cell_angle_beta 84.55
_cell_angle_gamma 84.55
loop_
_atom_site_label
_atom_site_fract_x
_atom_site_fract_y
_atom_site_fract_z
_atom_site_occupancy
Pa1 0.328 0.328 0.328 1
Pa2 0.672 0.672 0.672 1
V1 0.086 0.086 0.086 1
V2 0.914 0.914 0.914 1
Zn1 0.000 0.500 0.000 1
Zn2 0.000 0.000 0.500 1
Zn3 0.500 0.000 0.000 1
Zn4 0.710 0.000 0.290 1
Zn5 0.290 0.710 0.000 1
Zn6 0.000 0.290 0.710 1
Zn7 0.710 0.290 0.000 1
Zn8 0.000 0.710 0.290 1
Zn9 0.290 0.000 0.710 1
Zn10 0.644 0.157 0.644 1
Zn11 0.644 0.644 0.157 1
Zn12 0.157 0.644 0.644 1
Zn13 0.356 0.843 0.356 1
Zn14 0.356 0.356 0.843 1
Zn15 0.843 0.356 0.356 1



# Pa2VZn | Alexandria | PBE-GGA | relaxed
# Symmetry: P4/mmm, No. 123
# ΔE_f in kcal/mol of atoms: 3.6
# Electronic total energy in eV per atom: -7.1916
# Crystal system: tetragonal
# Distance to the lowest polymorph of the same formula in eV per atom: 0.0098
data_Pa2VZn
_space_group_name_H-M_alt 'P 1'
_space_group_IT_number 1
_space_group_name_Hall 'P 1'
_cell_length_a 4.364
_cell_length_b 4.290
_cell_length_c 4.290
_cell_angle_alpha 90.00
_cell_angle_beta 90.00
_cell_angle_gamma 90.00
loop_
_atom_site_label
_atom_site_fract_x
_atom_site_fract_y
_atom_site_fract_z
_atom_site_occupancy
Zn1 0.500 0.500 0.500 1
Pa1 0.000 0.000 0.500 1
Pa2 0.000 0.500 0.000 1
V1 0.500 0.000 0.000 1



# ZrPaV2 | Alexandria | PBE-GGA | relaxed
# Symmetry: Fm-3m, No. 225
# ΔE_f in kcal/mol of atoms: 3.8
# Electronic total energy in eV per atom: -8.9056
# Crystal system: cubic
# Distance to the lowest polymorph of the same formula in eV per atom: 0.0039
data_ZrPaV2
_space_group_name_H-M_alt 'P 1'
_space_group_IT_number 1
_space_group_name_Hall 'P 1'
_cell_length_a 4.719
_cell_length_b 4.719
_cell_length_c 4.719
_cell_angle_alpha 60.00
_cell_angle_beta 60.00
_cell_angle_gamma 60.00
loop_
_atom_site_label
_atom_site_fract_x
_atom_site_fract_y
_atom_site_fract_z
_atom_site_occupancy
Pa1 0.000 0.000 0.000 1
Zr1 0.500 0.500 0.500 1
V1 0.250 0.250 0.250 1
V2 0.750 0.750 0.750 1



# Zr3PaV8 | Alexandria | PBE-GGA | relaxed
# Symmetry: R3m, No. 160
# ΔE_f in kcal/mol of atoms: 0.3
# Electronic total energy in eV per atom: -8.9926
# Crystal system: trigonal
data_Zr3PaV8
_space_group_name_H-M_alt 'P 1'
_space_group_IT_number 1
_space_group_name_Hall 'P 1'
_cell_length_a 5.235
_cell_length_b 5.235
_cell_length_c 8.992
_cell_angle_alpha 73.08
_cell_angle_beta 73.08
_cell_angle_gamma 60.00
loop_
_atom_site_label
_atom_site_fract_x
_atom_site_fract_y
_atom_site_fract_z
_atom_site_occupancy
Zr1 0.375 0.375 0.876 1
Zr2 0.000 0.000 0.000 1
Zr3 0.501 0.501 0.498 1
Pa1 0.875 0.875 0.376 1
V1 0.940 0.437 0.186 1
V2 0.437 0.937 0.689 1
V3 0.437 0.437 0.186 1
V4 0.937 0.937 0.689 1
V5 0.187 0.187 0.439 1
V6 0.688 0.688 0.935 1
V7 0.437 0.940 0.186 1
V8 0.937 0.437 0.689 1



# ZrPa2V | Alexandria | PBE-GGA | relaxed
# Symmetry: R-3m, No. 166
# ΔE_f in kcal/mol of atoms: 9.3
# Electronic total energy in eV per atom: -8.7593
# Crystal system: trigonal
data_ZrPa2V
_space_group_name_H-M_alt 'P 1'
_space_group_IT_number 1
_space_group_name_Hall 'P 1'
_cell_length_a 3.030
_cell_length_b 3.030
_cell_length_c 11.184
_cell_angle_alpha 82.21
_cell_angle_beta 82.21
_cell_angle_gamma 60.00
loop_
_atom_site_label
_atom_site_fract_x
_atom_site_fract_y
_atom_site_fract_z
_atom_site_occupancy
Pa1 0.092 0.092 0.725 1
Pa2 0.908 0.908 0.275 1
Zr1 0.000 0.000 0.000 1
V1 0.500 0.500 0.500 1



# ZrPaV | Alexandria | PBE-GGA | relaxed
# Symmetry: I4mm, No. 107
# ΔE_f in kcal/mol of atoms: 3.0
# Electronic total energy in eV per atom: -8.9257
# Crystal system: tetragonal
data_ZrPaV
_space_group_name_H-M_alt 'P 1'
_space_group_IT_number 1
_space_group_name_Hall 'P 1'
_cell_length_a 3.380
_cell_length_b 3.380
_cell_length_c 5.795
_cell_angle_alpha 106.95
_cell_angle_beta 106.95
_cell_angle_gamma 90.00
loop_
_atom_site_label
_atom_site_fract_x
_atom_site_fract_y
_atom_site_fract_z
_atom_site_occupancy
Pa1 0.020 0.020 0.040 1
Zr1 0.328 0.328 0.657 1
V1 0.652 0.652 0.304 1



# ZrPaV2 | Alexandria | PBE-GGA | relaxed
# Symmetry: P4/mmm, No. 123
# ΔE_f in kcal/mol of atoms: 3.7
# Electronic total energy in eV per atom: -8.9095
# Crystal system: tetragonal
# Distance to the lowest polymorph of the same formula in eV per atom: 0.0000
data_ZrPaV2
_space_group_name_H-M_alt 'P 1'
_space_group_IT_number 1
_space_group_name_Hall 'P 1'
_cell_length_a 3.305
_cell_length_b 3.305
_cell_length_c 6.769
_cell_angle_alpha 90.00
_cell_angle_beta 90.00
_cell_angle_gamma 90.00
loop_
_atom_site_label
_atom_site_fract_x
_atom_site_fract_y
_atom_site_fract_z
_atom_site_occupancy
Pa1 0.500 0.500 0.500 1
Zr1 0.500 0.500 0.000 1
V1 0.000 0.000 0.725 1
V2 0.000 0.000 0.275 1



# Pa3W | Alexandria | PBE-GGA | relaxed
# Symmetry: Imm2, No. 44
# ΔE_f in kcal/mol of atoms: 6.5
# Electronic total energy in eV per atom: -10.0801
# Crystal system: orthorhombic
# Distance to the lowest polymorph of the same formula in eV per atom: 0.0000
data_Pa3W
_space_group_name_H-M_alt 'P 1'
_space_group_IT_number 1
_space_group_name_Hall 'P 1'
_cell_length_a 2.995
_cell_length_b 5.711
_cell_length_c 6.149
_cell_angle_alpha 117.67
_cell_angle_beta 104.10
_cell_angle_gamma 90.00
loop_
_atom_site_label
_atom_site_fract_x
_atom_site_fract_y
_atom_site_fract_z
_atom_site_occupancy
Pa1 0.264 0.548 0.527 1
Pa2 0.500 0.538 0.000 1
Pa3 0.736 0.021 0.473 1
W1 0.000 0.059 0.000 1



# Pa3W | Alexandria | PBE-GGA | relaxed
# Symmetry: Pmm2, No. 25
# ΔE_f in kcal/mol of atoms: 10.9
# Electronic total energy in eV per atom: -9.8894
# Crystal system: orthorhombic
# Distance to the lowest polymorph of the same formula in eV per atom: 0.1908
data_Pa3W
_space_group_name_H-M_alt 'P 1'
_space_group_IT_number 1
_space_group_name_Hall 'P 1'
_cell_length_a 3.174
_cell_length_b 2.987
_cell_length_c 9.663
_cell_angle_alpha 90.00
_cell_angle_beta 90.00
_cell_angle_gamma 90.00
loop_
_atom_site_label
_atom_site_fract_x
_atom_site_fract_y
_atom_site_fract_z
_atom_site_occupancy
Pa1 0.000 0.500 0.461 1
Pa2 0.500 0.500 0.185 1
Pa3 0.500 0.000 0.720 1
W1 0.000 0.000 0.968 1



# PaW | Alexandria | PBE-GGA | relaxed
# Symmetry: P2_1/m, No. 11
# ΔE_f in kcal/mol of atoms: 10.3
# Electronic total energy in eV per atom: -10.7793
# Crystal system: monoclinic
data_PaW
_space_group_name_H-M_alt 'P 1'
_space_group_IT_number 1
_space_group_name_Hall 'P 1'
_cell_length_a 3.237
_cell_length_b 5.255
_cell_length_c 5.300
_cell_angle_alpha 104.70
_cell_angle_beta 90.00
_cell_angle_gamma 90.00
loop_
_atom_site_label
_atom_site_fract_x
_atom_site_fract_y
_atom_site_fract_z
_atom_site_occupancy
Pa1 0.250 0.701 0.297 1
Pa2 0.750 0.299 0.703 1
W1 0.250 0.817 0.835 1
W2 0.750 0.183 0.165 1



# PaW2 | Alexandria | PBE-GGA | relaxed
# Symmetry: Fd-3m, No. 227
# ΔE_f in kcal/mol of atoms: 3.1
# Electronic total energy in eV per atom: -11.6679
# Crystal system: cubic
# Distance to the lowest polymorph of the same formula in eV per atom: 0.0000
data_PaW2
_space_group_name_H-M_alt 'P 1'
_space_group_IT_number 1
_space_group_name_Hall 'P 1'
_cell_length_a 5.520
_cell_length_b 5.520
_cell_length_c 5.520
_cell_angle_alpha 60.00
_cell_angle_beta 60.00
_cell_angle_gamma 60.00
loop_
_atom_site_label
_atom_site_fract_x
_atom_site_fract_y
_atom_site_fract_z
_atom_site_occupancy
Pa1 0.000 0.000 0.000 1
Pa2 0.250 0.250 0.250 1
W1 0.125 0.625 0.625 1
W2 0.625 0.125 0.625 1
W3 0.625 0.625 0.625 1
W4 0.625 0.625 0.125 1



# PaW2 | Alexandria | PBE-GGA | relaxed
# Symmetry: I4/mmm, No. 139
# ΔE_f in kcal/mol of atoms: 7.0
# Electronic total energy in eV per atom: -11.4987
# Crystal system: tetragonal
# Distance to the lowest polymorph of the same formula in eV per atom: 0.1692
data_PaW2
_space_group_name_H-M_alt 'P 1'
_space_group_IT_number 1
_space_group_name_Hall 'P 1'
_cell_length_a 3.185
_cell_length_b 3.185
_cell_length_c 6.218
_cell_angle_alpha 104.84
_cell_angle_beta 104.84
_cell_angle_gamma 90.00
loop_
_atom_site_label
_atom_site_fract_x
_atom_site_fract_y
_atom_site_fract_z
_atom_site_occupancy
Pa1 0.000 0.000 0.000 1
W1 0.688 0.688 0.376 1
W2 0.312 0.312 0.624 1



Q: Which formula does entry 3 have?
A: ZrPaV2



Q: Number 7 is which compound?
A: ZrPaV2



Q: Look up the ΔE_f of the fifth one.
A: 9.3 kcal/mol of atoms